Material: Al3MoRh
Method: DFT, PBE
State: relaxed

Values from the calculation:
**ΔE_f**: 0.402 eV/atom
**Energy relative to the lowest polymorph listed for this composition**: 0 meV per atom

abc: 4.581 4.581 4.581
angles: 90.00 90.00 90.00
Space group Pm-3m (No. 221)
Inequivalent atoms, fractional coordinates:
Al 0.000 0.000 0.500 x3
Mo 0.500 0.500 0.500 x1
Rh 0.000 0.000 0.000 x1